1.
! CoP2H, single point on PBEsol structure, DFT meta-GGA SCAN; values from VASP
! ρ: 5.27 g/cm3
! total magnetization: 0.002 μB/f.u.
! total energy: -10.0161 eV per atom
&SYSTEM
  ibrav = 0, nat = 4, ntyp = 3
/
ATOMIC_SPECIES
P 30.97 P.upf
Co 58.93 Co.upf
H 1.01 H.upf
CELL_PARAMETERS angstrom
-3.5846 -1.1197 0.4815
-0.7859 -3.6696 0.5009
-1.1565 -1.2435 3.3839
ATOMIC_POSITIONS angstrom
P -1.3818 -1.5082 1.0916
P -4.1453 -4.5246 3.2747
Co -2.7635 -3.0164 2.1832
H 0.0000 0.0000 0.0000



2.
! RbLi2NiSb, single point on PBEsol structure, DFT meta-GGA SCAN; values from VASP
! formation energy without anion corrections: -0.09 eV per atom
! ρ: 3.53 g/cm3
! total magnetization: 0.002 μB/f.u.
&SYSTEM
  ibrav = 0, nat = 5, ntyp = 4
/
ATOMIC_SPECIES
Sb 121.76 Sb.upf
Li 6.94 Li.upf
Rb 85.47 Rb.upf
Ni 58.69 Ni.upf
CELL_PARAMETERS angstrom
-2.5283 -3.5720 -1.9398
4.3383 -2.9352 -0.2495
-1.0032 -1.8898 4.7876
ATOMIC_POSITIONS angstrom
Sb 0.0000 0.0000 0.0000
Li -0.5016 -0.9449 2.3938
Li 2.1691 -1.4676 -0.1248
Rb 0.4034 -4.1985 1.2992
Ni -1.2642 -1.7860 -0.9699



3.
! LiP4WO13, single point on PBEsol structure, DFT meta-GGA SCAN; values from VASP
! formation energy without anion corrections: -2.29 eV per atom
! ρ: 3.15 g/cm3
! total magnetization: 1.000 μB/f.u.
&SYSTEM
  ibrav = 0, nat = 38, ntyp = 4
/
ATOMIC_SPECIES
P 30.97 P.upf
O 16.00 O.upf
W 183.84 W.upf
Li 6.94 Li.upf
CELL_PARAMETERS angstrom
5.1538 -0.0300 -0.1249
1.3126 7.7371 -0.3492
0.6693 1.9764 13.7086
ATOMIC_POSITIONS angstrom
P 1.7161 6.0427 1.5829
P 6.6143 8.1550 8.5212
P 2.7970 4.9721 4.1371
P 3.0021 6.8045 10.6147
P 4.0877 2.8600 2.6476
P 4.2708 4.7113 9.0365
P 0.4575 1.4390 4.7463
P 5.3598 3.6296 11.5830
O 1.2297 1.5493 9.1321
O 1.7724 5.1597 2.9348
O 1.8427 0.7653 4.4545
O 2.1370 5.0839 5.4365
O 1.8747 5.2249 0.3742
O 1.5175 7.3126 7.4650
O 1.6039 7.2997 10.0248
O 1.5903 2.9435 11.5154
O 2.7696 7.1720 1.7657
O 2.8934 5.8285 11.7050
O 3.2686 1.5859 2.3212
O 3.3360 3.4876 3.9311
O 3.1033 3.7226 9.2618
O 3.9997 5.9157 3.8806
O 3.6882 6.1771 9.2975
O 3.8298 8.0800 10.9008
O 4.2287 3.8251 1.5495
O 4.3003 2.5079 11.4120
O 5.4747 6.7131 1.6206
O 5.4586 2.3698 3.2851
O 5.5073 2.1493 5.8725
O 5.2379 4.4408 12.8002
O 4.9332 4.6948 7.7306
O 5.2449 8.8573 8.7304
O 5.3037 4.5153 10.2324
O 5.8757 8.0072 4.0124
W 2.7572 2.0561 10.2836
W 4.3254 7.5961 2.8881
Li 3.2343 3.8413 -0.2357
Li 6.1816 5.5919 6.6702



4.
! SnGe2WBr, single point on PBEsol structure, DFT meta-GGA SCAN; values from VASP
! formation energy without anion corrections: 1.98 eV per atom
! ρ: 6.87 g/cm3
! total magnetization: 3.718 μB/f.u.
&SYSTEM
  ibrav = 0, nat = 5, ntyp = 4
/
ATOMIC_SPECIES
Ge 72.64 Ge.upf
Br 79.90 Br.upf
Sn 118.71 Sn.upf
W 183.84 W.upf
CELL_PARAMETERS angstrom
-0.3233 -4.6368 1.5915
0.5508 -1.6192 -4.6057
5.2421 -0.1342 0.6741
ATOMIC_POSITIONS angstrom
Ge 0.2754 -0.8096 -2.3028
Ge -0.1617 -2.3184 0.7958
Br 0.0000 0.0000 0.0000
Sn 2.6211 -0.0671 0.3370
W 2.7348 -3.1951 -1.1701



5.
! Li3SnBr, single point on PBEsol structure, DFT meta-GGA SCAN; values from VASP
! formation energy without anion corrections: -0.56 eV per atom
! ρ: 3.30 g/cm3
! total magnetization: 0.000 μB/f.u.
&SYSTEM
  ibrav = 0, nat = 5, ntyp = 3
/
ATOMIC_SPECIES
Sn 118.71 Sn.upf
Br 79.90 Br.upf
Li 6.94 Li.upf
CELL_PARAMETERS angstrom
-1.1836 2.2974 -4.0397
-3.2275 -3.4057 -0.9912
-3.3437 2.4742 2.3867
ATOMIC_POSITIONS angstrom
Sn -3.8774 0.6829 -1.3221
Br 0.0000 0.0000 0.0000
Li -1.6138 -1.7029 -0.4956
Li -1.6719 1.2371 1.1934
Li -0.5918 1.1487 -2.0199



6.
! Zn3Cu, single point on PBEsol structure, DFT meta-GGA SCAN; values from VASP
! ρ: 8.28 g/cm3
! total magnetization: 0.000 μB/f.u.
! energy relative to the elements: -16 meV per atom
&SYSTEM
  ibrav = 0, nat = 4, ntyp = 2
/
ATOMIC_SPECIES
Zn 65.41 Zn.upf
Cu 63.55 Cu.upf
CELL_PARAMETERS angstrom
2.5976 0.0000 0.0000
-0.8659 4.8121 0.0000
-0.8659 -2.4061 4.1674
ATOMIC_POSITIONS angstrom
Zn 0.8659 -1.2030 2.0837
Zn -0.8659 1.2030 2.0837
Zn 0.8659 2.4061 0.0000
Cu 0.0000 0.0000 0.0000



7.
! TaCoNi, single point on PBEsol structure, DFT meta-GGA SCAN; values from VASP
! ρ: 13.07 g/cm3
! total magnetization: 0.743 μB/f.u.
! energy relative to the elements: -193 meV per atom
&SYSTEM
  ibrav = 0, nat = 3, ntyp = 3
/
ATOMIC_SPECIES
Ni 58.69 Ni.upf
Co 58.93 Co.upf
Ta 180.95 Ta.upf
CELL_PARAMETERS angstrom
-1.7790 -2.3245 1.0030
1.4440 -1.9443 -1.9447
2.8243 1.3086 3.2692
ATOMIC_POSITIONS angstrom
Ni 0.7210 -2.4106 0.4649
Co 2.4759 -2.9561 2.3134
Ta 1.7817 -0.5538 1.8766



8.
! Li4Ti5Cr3O16, single point on PBEsol structure, DFT meta-GGA SCAN; values from VASP
! formation energy without anion corrections: -2.92 eV per atom
! ρ: 4.10 g/cm3
! total magnetization: 7.934 μB/f.u.
&SYSTEM
  ibrav = 0, nat = 28, ntyp = 4
/
ATOMIC_SPECIES
Li 6.94 Li.upf
Ti 47.87 Ti.upf
Cr 52.00 Cr.upf
O 16.00 O.upf
CELL_PARAMETERS angstrom
5.7799 -0.0286 -0.0169
2.8639 5.0206 -0.0169
-0.0412 -0.0238 9.4451
ATOMIC_POSITIONS angstrom
Li 2.8524 1.6473 8.4328
Li -0.0056 -0.0032 9.3807
Li -0.0088 -0.0051 4.6924
Li 5.7340 3.3114 3.7446
Ti 7.1046 4.1030 6.7895
Ti 2.8284 3.2863 2.0386
Ti 2.8475 1.6444 4.6723
Ti 4.2601 0.8074 2.0386
Ti 5.6569 3.2669 9.3361
Cr 1.4817 0.8557 2.0018
Cr 4.3201 4.1473 6.7128
Cr 5.7513 1.6691 6.7128
O 2.8460 3.3219 5.6230
O 4.1419 2.3920 3.1938
O 2.8957 1.6723 0.9388
O 0.0081 0.0047 2.9269
O -0.0143 -0.0083 7.6234
O 4.2997 0.8049 5.6230
O 1.5713 2.4001 3.2142
O 2.8641 0.1615 3.2142
O 7.2018 4.1591 0.8727
O 1.4264 0.8237 5.6468
O 5.7341 4.8073 7.9270
O 7.0297 2.5639 7.9270
O 5.7451 3.3179 5.6676
O 4.3114 4.1739 0.8919
O 4.4724 2.5829 7.8859
O 5.7700 1.6482 0.8919



9.
! SrTl2Ru, single point on PBEsol structure, DFT meta-GGA SCAN; values from VASP
! ρ: 10.26 g/cm3
! total magnetization: 0.000 μB/f.u.
! energy relative to the elements: 144 meV per atom
&SYSTEM
  ibrav = 0, nat = 4, ntyp = 3
/
ATOMIC_SPECIES
Ru 101.07 Ru.upf
Sr 87.62 Sr.upf
Tl 204.38 Tl.upf
CELL_PARAMETERS angstrom
3.4433 0.0000 0.0000
0.0000 5.3891 0.0000
-1.7217 -2.6946 5.2110
ATOMIC_POSITIONS angstrom
Ru 1.7217 0.0000 0.0000
Sr 0.0000 2.6946 0.0000
Tl 1.7216 2.6946 3.0508
Tl 0.0000 0.0000 2.1602



10.
! BaNa2CdI, single point on PBEsol structure, DFT meta-GGA SCAN; values from VASP
! formation energy without anion corrections: -0.40 eV per atom
! ρ: 3.36 g/cm3
! total magnetization: 0.000 μB/f.u.
&SYSTEM
  ibrav = 0, nat = 5, ntyp = 4
/
ATOMIC_SPECIES
I 126.90 I.upf
Na 22.99 Na.upf
Ba 137.33 Ba.upf
Cd 112.41 Cd.upf
CELL_PARAMETERS angstrom
-0.5464 -3.8601 -4.0123
1.5973 -3.9708 3.6026
-6.3614 -0.9467 1.7770
ATOMIC_POSITIONS angstrom
I -2.6553 -4.3888 0.6836
Na 0.7986 -1.9854 1.8013
Na -0.2732 -1.9300 -2.0062
Ba -3.1807 -0.4733 0.8885
Cd 0.0000 0.0000 0.0000



11.
! MgTeWI2, single point on PBEsol structure, DFT meta-GGA SCAN; values from VASP
! formation energy without anion corrections: 0.59 eV per atom
! ρ: 6.16 g/cm3
! total magnetization: 2.216 μB/f.u.
&SYSTEM
  ibrav = 0, nat = 5, ntyp = 4
/
ATOMIC_SPECIES
I 126.90 I.upf
Mg 24.30 Mg.upf
Te 127.60 Te.upf
W 183.84 W.upf
CELL_PARAMETERS angstrom
5.2080 0.0000 0.0000
0.0000 5.5250 0.0000
0.0000 0.0000 5.5250
ATOMIC_POSITIONS angstrom
I 0.0000 0.0000 2.7625
I 0.0000 2.7625 0.0000
Mg 2.6040 2.7625 2.7625
Te 2.6040 0.0000 0.0000
W 0.0000 0.0000 0.0000



12.
! GaCoN2, single point on PBEsol structure, DFT meta-GGA SCAN; values from VASP
! formation energy without anion corrections: 0.30 eV per atom
! ρ: 6.53 g/cm3
! total magnetization: 0.000 μB/f.u.
&SYSTEM
  ibrav = 0, nat = 4, ntyp = 3
/
ATOMIC_SPECIES
Co 58.93 Co.upf
Ga 69.72 Ga.upf
N 14.01 N.upf
CELL_PARAMETERS angstrom
2.8118 0.0000 0.0000
1.4059 2.4351 0.0000
1.4059 0.8117 5.8219
ATOMIC_POSITIONS angstrom
Co 2.8118 1.6234 2.9110
Ga 0.0000 0.0000 0.0000
N 4.2177 2.4351 1.9209
N 1.4059 0.8117 3.9010